Entry 1:
Below is crystalline Li2IrAu2 at its relaxed geometry, with properties calculated at the PBE level.

**Space group**: No. 127
**Magnetic moment**: 0.00 μB/f.u.
**ΔE_f**: -0.34 eV per formula unit
**Energy**: -3.916 eV per atom

Cell lengths 7.3926, 7.3926, 2.7733 Å; angles 90.00, 90.00, 90.00 degrees
Last column: nearest neighbours and their distance in Å.
Sites, in units of the cell vectors:
Li  0.1581  0.3419  0.0000  6 Au 2.50-2.63, 2 Li 2.77
Li  0.3419  0.8419  0.0000  6 Au 2.50-2.63, 2 Li 2.77
Li  0.6581  0.1581  0.0000  6 Au 2.50-2.63, 2 Li 2.77
Li  0.8419  0.6581  0.0000  6 Au 2.50-2.63, 2 Li 2.77
Ir  0.0000  0.0000  0.5000  2 Ir 2.77, 4 Au 2.84
Ir  0.5000  0.5000  0.5000  2 Ir 2.77, 4 Au 2.84
Au  0.1432  0.6432  0.5000  6 Li 2.50-2.63, 2 Au 2.77
Au  0.3568  0.1432  0.5000  6 Li 2.50-2.63, 2 Au 2.77
Au  0.6432  0.8568  0.5000  6 Li 2.50-2.63, 2 Au 2.77
Au  0.8568  0.3568  0.5000  6 Li 2.50-2.63, 2 Au 2.77

Entry 2:
Below is crystalline LiIrAu4 at its relaxed geometry, with properties calculated at the PBE level.

**Space group**: No. 216
**Magnetic moment**: 0.00 μB/f.u.
**ΔE_f**: 1.87 eV per formula unit
**Energy**: -3.669 eV per atom

Cell lengths 5.4096, 5.4096, 5.4096 Å; angles 60.00, 60.00, 60.00 degrees
Last column: nearest neighbours and their distance in Å.
Sites, in units of the cell vectors:
Li  0.0000  0.0000  0.0000  12 Au 3.17, 4 Ir 3.31
Ir  0.2500  0.2500  0.2500  12 Au 3.17, 4 Li 3.31
Au  0.1250  0.6250  0.6250  6 Au 2.70
Au  0.6250  0.1250  0.6250  6 Au 2.70
Au  0.6250  0.6250  0.1250  6 Au 2.70
Au  0.6250  0.6250  0.6250  6 Au 2.70